This record from Alexandria via LeMat-Bulk describes K2Ga2P2S after structural relaxation. The functional is PBE.

a = 3.957 Å, b = 7.445 Å, c = 7.986 Å
α = 54.24°, β = 89.99°, γ = 74.59°
Element x y z (fractional)
S (0.000, 0.000, 0.000)
Ga (0.192, 0.615, 0.318)
Ga (0.808, 0.385, 0.682)
K (0.432, 0.136, 0.208)
K (0.568, 0.864, 0.792)
P (0.196, 0.608, 0.631)
P (0.804, 0.392, 0.369)

**ΔE_f (raw)**: -0.6053 eV/atom
**Space-group type**: C2/m (12)
**E_tot**: -3.919 eV per atom

This record from Alexandria via LeMat-Bulk describes KGa2SiP after structural relaxation. The functional is PBE.

a = 5.526 Å, b = 5.523 Å, c = 5.526 Å
α = 90.00°, β = 90.00°, γ = 90.00°
Element x y z (fractional)
Si (0.000, 0.500, 0.000)
K (0.000, 0.000, 0.000)
P (0.500, 0.500, 0.500)
Ga (0.500, 0.000, 0.000)
Ga (0.000, 0.000, 0.500)

**ΔE_f (raw)**: 1.6739 eV/atom
**Space-group type**: P4/mmm (123)
**DOS at the Fermi energy**: 2.76 states/eV/cell
**E_tot**: -1.923 eV per atom

This record from Alexandria via LeMat-Bulk describes K2PaGaSe5 after structural relaxation. The functional is PBE.

a = 4.198 Å, b = 9.960 Å, c = 14.244 Å
α = 90.00°, β = 90.00°, γ = 102.17°
Each line ends with the local moment (μB).
Element x y z (fractional)
Se (0.298, 0.596, 0.657)  -0.01
Se (0.702, 0.404, 0.157)  -0.01
Se (0.506, 0.012, 0.783)  0.00
Se (0.943, 0.885, 0.527)  0.00
Se (0.695, 0.390, 0.891)  0.00
Se (0.340, 0.680, 0.008)  -0.01
Se (0.494, 0.988, 0.283)  0.00
Se (0.057, 0.115, 0.027)  0.00
Se (0.660, 0.320, 0.508)  -0.01
Se (0.305, 0.610, 0.391)  0.00
K (0.111, 0.221, 0.677)  0.00
K (0.882, 0.764, 0.831)  0.00
K (0.118, 0.236, 0.331)  0.00
K (0.889, 0.779, 0.177)  0.00
Ga (0.433, 0.867, 0.421)  0.00
Ga (0.567, 0.133, 0.921)  0.00
Pa (0.207, 0.413, 0.029)  0.12
Pa (0.793, 0.587, 0.529)  0.12

**ΔE_f (raw)**: -1.1524 eV/atom
**Space-group type**: Cmc2_1 (36)
**E_tot**: -4.724 eV per atom

This record from Alexandria via LeMat-Bulk describes K2PaGaTe5 after structural relaxation. The functional is PBE.

a = 4.443 Å, b = 10.736 Å, c = 14.946 Å
α = 90.00°, β = 90.00°, γ = 101.94°
Each line ends with the local moment (μB).
Element x y z (fractional)
Te (0.339, 0.677, 0.008)  -0.01
Te (0.507, 0.014, 0.773)  0.00
Te (0.946, 0.891, 0.531)  0.00
Te (0.697, 0.394, 0.163)  -0.01
Te (0.305, 0.610, 0.384)  -0.01
Te (0.054, 0.109, 0.031)  0.00
Te (0.303, 0.606, 0.663)  -0.01
Te (0.493, 0.986, 0.273)  0.00
Te (0.695, 0.390, 0.884)  -0.01
Te (0.661, 0.323, 0.508)  -0.01
Pa (0.797, 0.593, 0.527)  0.17
Pa (0.203, 0.407, 0.027)  0.17
Ga (0.434, 0.867, 0.420)  0.00
Ga (0.566, 0.133, 0.920)  0.00
K (0.879, 0.757, 0.185)  0.00
K (0.115, 0.229, 0.332)  0.00
K (0.121, 0.243, 0.685)  0.00
K (0.885, 0.771, 0.832)  0.00

**ΔE_f (raw)**: -0.7943 eV/atom
**Space-group type**: Cmc2_1 (36)
**DOS at the Fermi energy**: 2.73 states/eV/cell
**E_tot**: -4.175 eV per atom